No. 1
Compound: TbTmHf
Source: the Open Quantum Materials Database
Functional: PBE
Structure: optimized geometry

Properties
Relative energy among the computed polymorphs in meV per atom: 0
Crystal system: cubic

a = 7.2959 Å, b = 7.2959 Å, c = 7.2959 Å
α = 90.00°, β = 90.00°, γ = 90.00°
Space group F-43m (No. 216)
Symmetry-distinct sites (fractional):
Tb (0.0000, 0.0000, 0.0000)
Tm (0.0000, 0.0000, 0.5000)
Hf (0.2500, 0.2500, 0.2500)

No. 2
Compound: LuCoGeMo
Source: the Open Quantum Materials Database
Functional: PBE
Structure: optimized geometry

Properties
Relative energy among the computed polymorphs in meV per atom: 0
Crystal system: cubic

a = 6.3135 Å, b = 6.3135 Å, c = 6.3135 Å
α = 90.00°, β = 90.00°, γ = 90.00°
Space group F-43m (No. 216)
Symmetry-distinct sites (fractional):
Lu (0.0000, 0.0000, 0.0000)
Co (0.2500, 0.2500, 0.7500)
Ge (0.0000, 0.0000, 0.5000)
Mo (0.2500, 0.2500, 0.2500)

No. 3
Compound: TbHoGe2Au2
Source: the Open Quantum Materials Database
Functional: PBE
Structure: optimized geometry

Properties
Crystal system: trigonal
Total DFT energy (no corrections) in eV/atom: -5.00

a = 4.4790 Å, b = 4.4790 Å, c = 7.3067 Å
α = 90.00°, β = 90.00°, γ = 120.00°
Space group P3m1 (No. 156)
Symmetry-distinct sites (fractional):
Tb (0.0000, 0.0000, 0.0000)
Ho (0.0000, 0.0000, 0.4996)
Ge (0.3333, 0.6667, 0.2087)
Ge (0.6667, 0.3333, 0.7062)
Au (0.3333, 0.6667, 0.7872)
Au (0.6667, 0.3333, 0.2946)

No. 4
Compound: SrSbPd2Pb
Source: the Open Quantum Materials Database
Functional: PBE
Structure: optimized geometry

Properties
Crystal system: tetragonal
Total DFT energy (no corrections) in eV/atom: -4.64

a = 4.6780 Å, b = 4.6780 Å, c = 11.1114 Å
α = 90.00°, β = 90.00°, γ = 90.00°
Space group P4/nmm (No. 129, origin choice 2)
Symmetry-distinct sites (fractional):
Sr (0.2500, 0.2500, 0.2357)
Sb (0.2500, 0.2500, 0.8789)
Pd (0.2500, 0.2500, 0.6447)
Pd (0.2500, 0.7500, 0.0000)
Pb (0.2500, 0.7500, 0.5000)

No. 5
Compound: Ho4CCl2F3
Source: the Open Quantum Materials Database
Functional: PBE
Structure: optimized geometry

Properties
Crystal system: monoclinic
Total DFT energy (no corrections) in eV/atom: -5.92

a = 15.1720 Å, b = 3.5225 Å, c = 6.7091 Å
α = 90.00°, β = 100.65°, γ = 90.00°
Space group C2/m (No. 12)
Symmetry-distinct sites (fractional):
Ho (0.0210, 0.0000, 0.2693)
Ho (0.1555, 0.5000, 0.6203)
C (0.0000, 0.5000, 0.5000)
Cl (0.1556, 0.0000, 0.9200)
F (0.0000, 0.5000, 0.0000)
F (0.1844, 0.0000, 0.4035)

No. 6
Compound: Y2HoSc3P2Os
Source: the Open Quantum Materials Database
Functional: PBE
Structure: optimized geometry

Properties
Crystal system: orthorhombic
Total DFT energy (no corrections) in eV/atom: -7.37

a = 4.0668 Å, b = 12.8575 Å, c = 7.4020 Å
α = 90.00°, β = 90.00°, γ = 90.00°
Space group Amm2 (No. 38)
Symmetry-distinct sites (fractional):
Y (0.0000, 0.2067, 0.0000)
Ho (0.0000, 0.0000, 0.6192)
Sc (0.5000, 0.0000, 0.9664)
Sc (0.5000, 0.1206, 0.3278)
P (0.5000, 0.1661, 0.7066)
Os (0.0000, 0.0000, 0.2097)

No. 7
Compound: Er3TmC2Se2
Source: the Open Quantum Materials Database
Functional: PBE
Structure: optimized geometry

Properties
Crystal system: trigonal
Total DFT energy (no corrections) in eV/atom: -6.63

a = 3.7143 Å, b = 3.7143 Å, c = 13.1058 Å
α = 90.00°, β = 90.00°, γ = 120.00°
Space group P3m1 (No. 156)
Symmetry-distinct sites (fractional):
Er (0.0000, 0.0000, 0.0000)
Er (0.0000, 0.0000, 0.3008)
Er (0.6667, 0.3333, 0.8006)
Tm (0.6667, 0.3333, 0.4998)
C (0.3333, 0.6667, 0.4005)
C (0.3333, 0.6667, 0.9003)
Se (0.0000, 0.0000, 0.6501)
Se (0.6667, 0.3333, 0.1503)

No. 8
Compound: TbSmZn
Source: the Open Quantum Materials Database
Functional: PBE
Structure: optimized geometry

Properties
Relative energy among the computed polymorphs in meV per atom: 104
Crystal system: cubic

a = 7.0702 Å, b = 7.0702 Å, c = 7.0702 Å
α = 90.00°, β = 90.00°, γ = 90.00°
Space group F-43m (No. 216)
Symmetry-distinct sites (fractional):
Tb (0.0000, 0.0000, 0.0000)
Sm (0.0000, 0.0000, 0.5000)
Zn (0.2500, 0.2500, 0.7500)